# 1
Here is crystalline UTcGe at its relaxed geometry from Alexandria. Energies are from PBE.

Energy ... -0.3292 hartree per atom
Total magnetic moment ... 0.000 μB per atom
Excess energy over the best structure of this formula in the dataset ... 60 meV/atom

a b c (Å): 3.3523 3.3523 8.9454
angles (deg): 90.00 90.00 90.00
Space group P4/nmm (No. 129, origin choice 2)
One atom of each set of equivalent atoms:
U1 0.2500 0.2500 0.0707 (multiplicity 2)
Tc1 0.2500 0.2500 0.7177 (multiplicity 2)
Ge1 0.2500 0.2500 0.4142 (multiplicity 2)

***

# 2
Here is crystalline UTc2Ge2 at its relaxed geometry from Alexandria. Energies are from PBE.

Energy ... -0.2900 hartree per atom
Total magnetic moment ... 0.091 μB per atom

a b c (Å): 4.5955 4.5955 9.9935
angles (deg): 90.00 90.00 120.00
Space group P6_3/mmc (No. 194)
One atom of each set of equivalent atoms:
U1 0.0000 0.0000 0.2500 (multiplicity 2)
Tc1 0.0000 0.0000 0.0000 (multiplicity 2)
Tc2 0.3333 0.6667 0.2500 (multiplicity 2)
Ge1 0.3333 0.6667 0.5669 (multiplicity 4)

***

# 3
Here is crystalline UTcGe at its relaxed geometry from Alexandria. Energies are from PBE.

Energy ... -0.3289 hartree per atom
Total magnetic moment ... 0.000 μB per atom
Excess energy over the best structure of this formula in the dataset ... 70 meV/atom

a b c (Å): 4.4321 4.4321 3.2308
angles (deg): 90.00 90.00 120.00
Space group P-6m2 (No. 187)
One atom of each set of equivalent atoms:
U1 0.0000 0.0000 0.0000 (multiplicity 1)
Tc1 0.6667 0.3333 0.5000 (multiplicity 1)
Ge1 0.3333 0.6667 0.5000 (multiplicity 1)